1.
The following is a GGA-PBE calculation of an optimized crystal structure of Zr2Os, from the Alexandria database.

Final energy in eV/atom: -9.523
ΔH_f (0 K) in meV per atom: -81

Cell: 5.894 5.894 7.054 Å, 103.56 103.56 30.77°
Positions (direct):
1 Zr 0.000 0.000 0.000
2 Zr 0.002 0.002 0.535
3 Zr 0.309 0.309 0.208
4 Zr 0.714 0.714 0.824
5 Os 0.291 0.291 0.564
6 Os 0.620 0.620 0.321


2.
The following is a GGA-PBE calculation of an optimized crystal structure of ZrOs2, from the Alexandria database.

Final energy in eV/atom: -10.384
ΔH_f (0 K) in meV per atom: -49

Cell: 4.287 4.287 6.734 Å, 90.00 90.00 120.00°
Positions (direct):
1 Zr 0.000 0.000 0.250
2 Zr 0.000 0.000 0.750
3 Os 0.333 0.667 0.050
4 Os 0.333 0.667 0.450
5 Os 0.667 0.333 0.550
6 Os 0.667 0.333 0.950


3.
The following is a GGA-PBE calculation of an optimized crystal structure of ZrOs2, from the Alexandria database.

Final energy in eV/atom: -10.420
ΔH_f (0 K) in meV per atom: -85

Cell: 12.662 12.662 12.662 Å, 161.76 161.76 25.90°
Positions (direct):
1 Zr 0.298 0.548 0.750
2 Zr 0.452 0.702 0.750
3 Zr 0.548 0.298 0.250
4 Zr 0.702 0.452 0.250
5 Os 0.045 0.795 0.250
6 Os 0.126 0.376 0.750
7 Os 0.205 0.955 0.250
8 Os 0.376 0.126 0.250
9 Os 0.624 0.874 0.750
10 Os 0.795 0.045 0.750
11 Os 0.874 0.624 0.250
12 Os 0.955 0.205 0.750


4.
The following is a GGA-PBE calculation of an optimized crystal structure of Zr4Os5, from the Alexandria database.

E above lowest polymorph in meV/atom: 0
Final energy in eV/atom: -10.173
ΔH_f (0 K) in meV per atom: -135

Cell: 6.608 6.608 6.608 Å, 95.53 95.53 143.82°
Positions (direct):
1 Zr 0.000 0.296 0.296
2 Zr 0.000 0.704 0.704
3 Zr 0.296 0.000 0.296
4 Zr 0.704 0.000 0.704
5 Os 0.000 0.000 0.000
6 Os 0.340 0.340 0.681
7 Os 0.340 0.660 0.000
8 Os 0.660 0.340 0.000
9 Os 0.660 0.660 0.319


5.
The following is a GGA-PBE calculation of an optimized crystal structure of Zr4Os5, from the Alexandria database.

E above lowest polymorph in meV/atom: 111
Final energy in eV/atom: -10.061
ΔH_f (0 K) in meV per atom: -23

Cell: 8.114 8.114 5.555 Å, 90.00 90.00 120.00°
Positions (direct):
1 Zr 0.000 0.000 0.000
2 Zr 0.000 0.000 0.500
3 Zr 0.000 0.369 0.250
4 Zr 0.000 0.631 0.750
5 Zr 0.369 0.000 0.250
6 Zr 0.369 0.369 0.750
7 Zr 0.631 0.000 0.750
8 Zr 0.631 0.631 0.250
9 Os 0.000 0.308 0.750
10 Os 0.000 0.692 0.250
11 Os 0.308 0.000 0.750
12 Os 0.308 0.308 0.250
13 Os 0.333 0.667 0.000
14 Os 0.333 0.667 0.500
15 Os 0.667 0.333 0.000
16 Os 0.667 0.333 0.500
17 Os 0.692 0.000 0.250
18 Os 0.692 0.692 0.750


6.
The following is a GGA-PBE calculation of an optimized crystal structure of ZrOs4, from the Alexandria database.

E above lowest polymorph in meV/atom: 2967
Final energy in eV/atom: -7.690
ΔH_f (0 K) in meV per atom: 3004

Cell: 4.699 4.699 4.699 Å, 90.00 90.00 90.00°
Positions (direct):
1 Zr 0.000 0.000 0.000
2 Os 0.000 0.000 0.500
3 Os 0.000 0.500 0.000
4 Os 0.500 0.000 0.000
5 Os 0.500 0.500 0.500


7.
The following is a GGA-PBE calculation of an optimized crystal structure of ZrOs2, from the Alexandria database.

Final energy in eV/atom: -8.996
ΔH_f (0 K) in meV per atom: 1339

Cell: 6.327 6.327 6.327 Å, 90.00 90.00 90.00°
Positions (direct):
1 Zr 0.000 0.000 0.000
2 Zr 0.000 0.500 0.500
3 Zr 0.500 0.000 0.500
4 Zr 0.500 0.500 0.000
5 Os 0.107 0.607 0.893
6 Os 0.107 0.893 0.393
7 Os 0.393 0.107 0.893
8 Os 0.393 0.393 0.393
9 Os 0.607 0.607 0.607
10 Os 0.607 0.893 0.107
11 Os 0.893 0.107 0.607
12 Os 0.893 0.393 0.107


8.
The following is a GGA-PBE calculation of an optimized crystal structure of Zr4Os, from the Alexandria database.

E above lowest polymorph in meV/atom: 621
Final energy in eV/atom: -8.687
ΔH_f (0 K) in meV per atom: 398

Cell: 5.446 5.446 5.446 Å, 109.47 109.47 109.47°
Positions (direct):
1 Zr 0.000 0.000 0.500
2 Zr 0.000 0.500 0.000
3 Zr 0.500 0.000 0.000
4 Zr 0.500 0.500 0.500
5 Os 0.000 0.000 0.000


9.
The following is a GGA-PBE calculation of an optimized crystal structure of Zr2Os, from the Alexandria database.

Final energy in eV/atom: -9.799
ΔH_f (0 K) in meV per atom: -357

Cell: 7.431 7.431 4.815 Å, 90.00 90.00 154.20°
Positions (direct):
1 Zr 0.077 0.923 0.750
2 Zr 0.235 0.765 0.250
3 Zr 0.765 0.235 0.750
4 Zr 0.923 0.077 0.250
5 Os 0.420 0.580 0.750
6 Os 0.580 0.420 0.250


10.
The following is a GGA-PBE calculation of an optimized crystal structure of Zr3Os, from the Alexandria database.

Final energy in eV/atom: -9.255
ΔH_f (0 K) in meV per atom: -37

Cell: 5.772 5.772 5.772 Å, 139.61 139.61 58.45°
Positions (direct):
1 Zr 0.000 0.000 0.000
2 Zr 0.250 0.750 0.500
3 Zr 0.750 0.250 0.500
4 Os 0.500 0.500 0.000


11.
The following is a GGA-PBE calculation of an optimized crystal structure of ZrOs2, from the Alexandria database.

Final energy in eV/atom: -10.180
ΔH_f (0 K) in meV per atom: 156

Cell: 5.611 5.611 5.611 Å, 125.74 125.74 80.32°
Positions (direct):
1 Zr 0.250 0.250 0.000
2 Zr 0.750 0.750 0.000
3 Os 0.175 0.675 0.850
4 Os 0.325 0.175 0.500
5 Os 0.675 0.825 0.500
6 Os 0.825 0.325 0.150


12.
The following is a GGA-PBE calculation of an optimized crystal structure of ZrOs2, from the Alexandria database.

Final energy in eV/atom: -9.685
ΔH_f (0 K) in meV per atom: 651

Cell: 6.558 6.558 4.301 Å, 90.00 90.00 120.00°
Positions (direct):
1 Zr 0.000 0.000 0.000
2 Zr 0.333 0.667 0.500
3 Zr 0.667 0.333 0.500
4 Os 0.000 0.237 0.500
5 Os 0.000 0.565 0.000
6 Os 0.237 0.000 0.500
7 Os 0.435 0.435 0.000
8 Os 0.565 0.000 0.000
9 Os 0.763 0.763 0.500


Which of these has the lowest ΔH_f (0 K)? number 9


Number 11 is which compound? ZrOs2